Density functional theory data (PBE) for a geometry-optimized ZnCo2BiRh structure.

* total DFT energy (no corrections): -4.54 eV/atom
* symmetry: No. 123
* formation energy from the elements: 4.00 eV/f.u.

```
ZnCo2BiRh
1.0
4.4145 0.0000 0.0000
0.0000 4.6435 0.0000
0.0000 0.0000 4.4145
Co Zn Rh Bi
2 1 1 1
Direct
0.0000 0.0000 0.5000 Co
0.5000 0.0000 0.0000 Co
0.0000 0.0000 0.0000 Zn
0.0000 0.5000 0.0000 Rh
0.5000 0.5000 0.5000 Bi
```

***

Density functional theory data (PBE) for a geometry-optimized Cs2RbNa2 structure.

* total DFT energy (no corrections): -1.02 eV/atom
* symmetry: No. 12
* formation energy from the elements: 0.22 eV/f.u.

```
Cs2RbNa2
1.0
-1.3765 -0.6560 -4.7375
-6.5676 -4.6808 2.5565
-2.9639 8.9051 2.2421
Cs Rb Na
2 1 2
Direct
0.3646 0.4359 0.7292 Cs
0.6354 0.5641 0.2708 Cs
0.0000 0.0000 0.0000 Rb
0.6993 0.0878 0.3985 Na
0.3007 0.9122 0.6015 Na
```

***

Density functional theory data (PBE) for a geometry-optimized Ac3PuP4 structure.

* total DFT energy (no corrections): -7.32 eV/atom
* symmetry: No. 221
* formation energy from the elements: -10.28 eV/f.u.

```
Ac3PuP4
1.0
6.1727 0.0000 0.0000
0.0000 6.1727 0.0000
0.0000 0.0000 6.1727
P Ac Pu
4 3 1
Direct
0.5000 0.0000 0.0000 P
0.0000 0.5000 0.0000 P
0.0000 0.0000 0.5000 P
0.5000 0.5000 0.5000 P
0.0000 0.5000 0.5000 Ac
0.5000 0.0000 0.5000 Ac
0.5000 0.5000 0.0000 Ac
0.0000 0.0000 0.0000 Pu
```

***

Density functional theory data (PBE) for a geometry-optimized MgZn2Cl structure.

* total DFT energy (no corrections): -1.66 eV/atom
* uncorrected formation energy: -0.166 eV/atom
* symmetry: No. 47

```
MgZn2Cl
1.0
-2.1023 -1.8911 1.9211
2.1756 -4.3290 -1.8805
3.3085 0.0631 3.6826
Cl Mg Zn
1 1 2
Direct
0.5000 0.5000 0.2500 Cl
0.5000 0.5000 0.7500 Mg
0.0000 0.0000 0.0027 Zn
0.0000 0.0000 0.4973 Zn
```

***

Density functional theory data (PBE) for a geometry-optimized ZnAs2Pt structure.

* total DFT energy (no corrections): -4.24 eV/atom
* symmetry: No. 6
* formation energy from the elements: -0.36 eV/f.u.

```
ZnAs2Pt
1.0
-1.0490 -1.4669 3.3747
-2.4100 -0.8846 -1.1336
0.2456 -6.9370 -2.9389
As Pt Zn
2 1 1
Direct
0.0000 0.9545 0.9408 As
0.5000 0.5759 0.2964 As
0.0000 0.3345 0.5435 Pt
0.5000 0.6352 0.7193 Zn
```

***

Density functional theory data (PBE) for a geometry-optimized SrTaS4 structure.

* total DFT energy (no corrections): -6.09 eV/atom
* uncorrected formation energy: -1.086 eV/atom
* symmetry: No. 36

```
SrTaS4
1.0
-2.6534 3.5546 2.0238
-5.1647 -3.8715 0.0283
3.6803 -4.8551 7.4797
Sr Ta S
2 2 8
Direct
0.8416 0.8502 0.6832 Sr
0.1584 0.3502 0.3168 Sr
0.5909 0.7509 0.1817 Ta
0.4091 0.2509 0.8183 Ta
0.9195 0.2538 0.8391 S
0.0805 0.7538 0.1609 S
0.4612 0.8831 0.9224 S
0.5388 0.3831 0.0776 S
0.7057 0.5938 0.4115 S
0.2943 0.0938 0.5885 S
0.6258 0.1015 0.2516 S
0.3742 0.6015 0.7484 S
```

***

Density functional theory data (PBE) for a geometry-optimized CrFe2Sn2 structure.

* total DFT energy (no corrections): -6.49 eV/atom
* symmetry: No. 127
* formation energy from the elements: 2.11 eV/f.u.

```
CrFe2Sn2
1.0
-0.3203 3.2152 5.3169
-5.4339 -2.7268 1.3216
1.9057 -2.8938 1.8647
Cr Sn Fe
2 4 4
Direct
0.0000 0.0000 0.0000 Cr
0.5000 0.5000 0.0000 Cr
0.1761 0.6761 0.5000 Sn
0.6761 0.8239 0.5000 Sn
0.8239 0.3239 0.5000 Sn
0.3239 0.1761 0.5000 Sn
0.3685 0.8685 0.0000 Fe
0.8685 0.6315 0.0000 Fe
0.6315 0.1315 0.0000 Fe
0.1315 0.3685 0.0000 Fe
```

***

Density functional theory data (PBE) for a geometry-optimized InSn2HPb structure.

* total DFT energy (no corrections): -3.32 eV/atom
* symmetry: No. 123

```
InSn2HPb
1.0
4.8294 0.0000 0.0000
0.0000 4.8294 0.0000
0.0000 0.0000 5.1030
Pb H Sn In
1 1 2 1
Direct
0.0000 0.0000 0.5000 Pb
0.0000 0.0000 0.0000 H
0.0000 0.5000 0.0000 Sn
0.5000 0.0000 0.0000 Sn
0.5000 0.5000 0.5000 In
```

***

Density functional theory data (PBE) for a geometry-optimized Np3Sb2Rh8 structure.

* total DFT energy (no corrections): -7.89 eV/atom
* uncorrected formation energy: 0.252 eV/atom
* symmetry: No. 166

```
Np3Sb2Rh8
1.0
-0.2007 -2.3910 6.5796
2.9443 -6.1548 1.5805
7.0531 0.4432 4.1035
Np Sb Rh
3 2 8
Direct
0.0000 0.0000 0.0000 Np
0.7987 0.7987 0.6040 Np
0.2013 0.2013 0.3960 Np
0.5701 0.5701 0.2897 Sb
0.4299 0.4299 0.7103 Sb
0.6954 0.6954 0.9137 Rh
0.3046 0.3046 0.0863 Rh
0.1541 0.7704 0.3052 Rh
0.7704 0.1541 0.3052 Rh
0.7704 0.7704 0.3052 Rh
0.2296 0.8459 0.6948 Rh
0.8459 0.2296 0.6948 Rh
0.2296 0.2296 0.6948 Rh
```

***

Density functional theory data (PBE) for a geometry-optimized MgInGe2 structure.

* total DFT energy (no corrections): -3.27 eV/atom
* symmetry: No. 225
* formation energy from the elements: 0.49 eV/f.u.

```
MgInGe2
1.0
0.0000 3.4995 3.4995
3.4995 0.0000 3.4995
3.4995 3.4995 0.0000
Ge Mg In
2 1 1
Direct
0.2500 0.2500 0.2500 Ge
0.7500 0.7500 0.7500 Ge
0.0000 0.0000 0.0000 Mg
0.5000 0.5000 0.5000 In
```

***

Density functional theory data (PBE) for a geometry-optimized CeDy2ScBi4 structure.

* total DFT energy (no corrections): -5.40 eV/atom
* symmetry: No. 10
* formation energy from the elements: -6.20 eV/f.u.

```
CeDy2ScBi4
1.0
4.4659 0.0000 0.0000
0.0000 7.7086 0.1301
0.0000 -2.6978 7.2476
Ce Dy Sc Bi
1 2 1 4
Direct
0.0000 0.0000 0.0000 Ce
0.5000 0.0000 0.5000 Dy
0.0000 0.5000 0.5000 Dy
0.5000 0.5000 0.0000 Sc
0.5000 0.2590 0.2497 Bi
0.5000 0.7410 0.7503 Bi
0.0000 0.2613 0.7574 Bi
0.0000 0.7387 0.2426 Bi
```

***

Density functional theory data (PBE) for a geometry-optimized AsS6F structure.

* total DFT energy (no corrections): -4.08 eV/atom
* uncorrected formation energy: -0.165 eV/atom
* symmetry: No. 8

```
AsS6F
1.0
-4.9943 2.7639 -2.4959
-0.8369 -5.9619 7.3004
-7.2436 2.8240 5.3940
As S F
1 6 1
Direct
0.4124 0.9400 0.0600 As
0.5316 0.2744 0.7256 S
0.3325 0.1125 0.2847 S
0.2130 0.6450 0.3550 S
0.9229 0.5034 0.8973 S
0.9229 0.1027 0.4966 S
0.3325 0.7153 0.8875 S
0.8324 0.7067 0.2933 F
```

***

> Look up the total DFT energy (no corrections) of the third one.

-7.32 eV/atom

***

> What is the total DFT energy (no corrections) in the third record?

-7.32 eV/atom

***

> Look up the total DFT energy (no corrections) of the third one.

-7.32 eV/atom

***

Repeat the eighth record exactly.
Density functional theory data (PBE) for a geometry-optimized InSn2HPb structure.

* total DFT energy (no corrections): -3.32 eV/atom
* symmetry: No. 123

```
InSn2HPb
1.0
4.8294 0.0000 0.0000
0.0000 4.8294 0.0000
0.0000 0.0000 5.1030
Pb H Sn In
1 1 2 1
Direct
0.0000 0.0000 0.5000 Pb
0.0000 0.0000 0.0000 H
0.0000 0.5000 0.0000 Sn
0.5000 0.0000 0.0000 Sn
0.5000 0.5000 0.5000 In
```